(1)
5
Lattice="4.691 0.000 0.000 0.000 4.691 0.000 0.000 0.000 4.691" Properties=species:S:1:pos:R:3 comment="PBE-GGA LiRhS3, relaxed" de_polymorph_mev_per_atom=0 e_form_raw_ev_per_atom=0.105 m_tot_mub_per_fu=1.9 sg=Pm-3m pbc="T T T"
Li 0.000 0.000 0.000
Rh 2.345 2.345 2.345
S 0.000 2.345 2.345
S 2.345 0.000 2.345
S 2.345 2.345 0.000


(2)
10
Lattice="6.616 0.000 0.000 0.000 6.616 0.000 0.000 0.000 3.014" Properties=species:S:1:pos:R:3 comment="PBE-GGA Li2RhS2, relaxed" de_polymorph_mev_per_atom=322 e_form_raw_ev_per_atom=-0.401 m_tot_mub_per_fu=0.0 sg=P4/mbm pbc="T T T"
Li 0.784 2.524 0.000
Li 2.524 5.832 0.000
Li 4.092 0.784 0.000
Li 5.832 4.092 0.000
Rh 0.000 0.000 0.000
Rh 3.308 3.308 0.000
S 1.282 4.590 1.507
S 2.026 1.282 1.507
S 4.590 5.334 1.507
S 5.334 2.026 1.507


(3)
5
Lattice="4.457 0.000 0.000 0.000 4.457 0.000 0.000 0.000 4.543" Properties=species:S:1:pos:R:3 comment="PBE-GGA LiRhSe2S, relaxed" e_form_raw_ev_per_atom=0.784 m_tot_mub_per_fu=0.0 sg=P4/mmm pbc="T T T"
Li 0.000 0.000 0.000
Rh 0.000 0.000 2.271
Se 0.000 2.229 0.000
Se 2.229 0.000 0.000
S 2.229 2.229 2.271


(4)
5
Lattice="4.621 0.000 0.000 0.000 4.621 0.000 0.000 0.000 4.316" Properties=species:S:1:pos:R:3 comment="PBE-GGA LiSiRhS2, relaxed" e_form_raw_ev_per_atom=0.281 m_tot_mub_per_fu=0.0 sg=P4/mmm pbc="T T T"
Li 0.000 0.000 0.000
Si 2.310 2.310 0.000
Rh 0.000 0.000 2.158
S 0.000 2.310 2.158
S 2.310 0.000 2.158


(5)
12
Lattice="3.024 -5.421 0.000 3.024 5.421 0.000 -2.077 0.000 5.989" Properties=species:S:1:pos:R:3 comment="PBE-GGA Li3TaRh2S6, relaxed" e_form_raw_ev_per_atom=-0.802 m_tot_mub_per_fu=0.9 sg=C2/m pbc="T T T"
Li 0.000 0.000 0.000
Li 3.024 1.877 0.000
Li 3.024 -1.877 0.000
Ta 1.985 0.000 2.994
Rh 1.985 3.662 2.994
Rh 1.985 -3.662 2.994
S 1.007 1.856 1.660
S -0.058 0.000 4.408
S 1.007 -1.856 1.660
S 2.963 1.856 4.329
S 4.028 0.000 1.580
S 2.963 -1.856 4.329


(6)
11
Lattice="2.917 -5.352 0.000 2.917 5.352 0.000 -1.637 0.000 6.340" Properties=species:S:1:pos:R:3 comment="PBE-GGA Li2Ta2RhS6, relaxed" e_form_raw_ev_per_atom=-0.939 m_tot_mub_per_fu=1.0 sg=C2/m pbc="T T T"
Li 2.917 3.492 0.000
Li 2.917 -3.492 0.000
Ta 2.098 1.467 3.170
Ta 2.098 -1.467 3.170
Rh -0.819 0.000 3.170
S 0.131 1.881 4.548
S 1.032 0.000 1.540
S 0.131 -1.881 4.548
S 4.065 1.881 1.791
S 3.165 0.000 4.800
S 4.065 -1.881 1.791